Entry 1:
A crystal of LiGePO2 relaxed with PBEsol. Source: Alexandria via LeMat-Bulk, functional SCAN.

Cell lengths 3.6235, 3.6235, 5.1958 Å; angles 90.00, 90.00, 90.00 degrees
Fractional coordinates of all 5 atoms:
Li1 0.0000 0.0000 0.0000
Ge1 0.5000 0.5000 0.5000
P1 0.5000 0.5000 0.0000
O1 0.0000 0.5000 0.5000
O2 0.5000 0.0000 0.5000

Calculated values
formation energy from raw total energies	-0.45	eV per atom
calculated total energy	-9.318	eV/atom

***

Entry 2:
A crystal of LiScGe2O6 relaxed with PBEsol. Source: Alexandria via LeMat-Bulk, functional SCAN.

Cell lengths 9.7027, 9.0885, 5.4422 Å; angles 90.00, 102.92, 90.00 degrees
Fractional coordinates of all 40 atoms:
Li1 0.2448 0.0055 0.4636
Li2 0.2448 0.4945 0.9636
Li3 0.7552 0.5055 0.0364
Li4 0.7552 0.9945 0.5364
Sc1 0.2484 0.6471 0.4654
Sc2 0.2484 0.8529 0.9654
Sc3 0.7516 0.1471 0.0346
Sc4 0.7516 0.3529 0.5346
Ge1 0.0549 0.1635 0.8132
Ge2 0.0549 0.3365 0.3132
Ge3 0.4506 0.1609 0.2504
Ge4 0.4506 0.3391 0.7504
Ge5 0.5494 0.6609 0.2496
Ge6 0.5494 0.8391 0.7496
Ge7 0.9451 0.6635 0.6868
Ge8 0.9451 0.8365 0.1868
O1 0.1107 0.1869 0.1466
O2 0.1107 0.3131 0.6466
O3 0.1320 0.6678 0.7508
O4 0.1320 0.8322 0.2508
O5 0.1333 0.0051 0.7362
O6 0.1333 0.4949 0.2362
O7 0.3635 0.6696 0.1822
O8 0.3635 0.8304 0.6822
O9 0.3794 0.2101 0.5120
O10 0.3794 0.2899 0.0120
O11 0.3810 0.5130 0.6890
O12 0.3810 0.9870 0.1890
O13 0.6190 0.0130 0.8110
O14 0.6190 0.4870 0.3110
O15 0.6206 0.7101 0.9880
O16 0.6206 0.7899 0.4880
O17 0.6365 0.1696 0.3178
O18 0.6365 0.3304 0.8178
O19 0.8667 0.5051 0.7638
O20 0.8667 0.9949 0.2638
O21 0.8680 0.1678 0.7492
O22 0.8680 0.3322 0.2492
O23 0.8893 0.6869 0.3534
O24 0.8893 0.8131 0.8534

Calculated values
formation energy from raw total energies	-2.44	eV per atom
calculated total energy	-11.659	eV/atom

***

Entry 3:
A crystal of Li4V2SiGeO10 relaxed with PBEsol. Source: Alexandria via LeMat-Bulk, functional SCAN.

Cell lengths 6.4099, 6.4099, 4.4814 Å; angles 90.00, 90.00, 90.00 degrees
Fractional coordinates of all 18 atoms:
Li1 0.2448 0.2448 0.0000
Li2 0.2448 0.7552 0.0000
Li3 0.7552 0.2448 0.0000
Li4 0.7552 0.7552 0.0000
V1 0.0000 0.5000 0.5908
V2 0.5000 0.0000 0.4092
Si1 0.0000 0.0000 0.5000
Ge1 0.5000 0.5000 0.5000
O1 0.0000 0.2060 0.7182
O2 0.0000 0.5000 0.2246
O3 0.0000 0.7940 0.7182
O4 0.2060 0.0000 0.2818
O5 0.2836 0.5000 0.7393
O6 0.5000 0.0000 0.7754
O7 0.5000 0.2836 0.2607
O8 0.5000 0.7164 0.2607
O9 0.7164 0.5000 0.7393
O10 0.7940 0.0000 0.2818

Calculated values
formation energy from raw total energies	-2.53	eV per atom
calculated total energy	-10.088	eV/atom

***

Entry 4:
A crystal of Li2V2SiGeO10 relaxed with PBEsol. Source: Alexandria via LeMat-Bulk, functional SCAN.

Cell lengths 6.3302, 6.3302, 4.5614 Å; angles 90.00, 90.00, 90.75 degrees
Fractional coordinates of all 16 atoms:
Li1 0.2394 0.7606 0.0000
Li2 0.7606 0.2394 0.0000
V1 0.0000 0.5000 0.3894
V2 0.5000 0.0000 0.6106
Si1 0.0000 0.0000 0.5000
Ge1 0.5000 0.5000 0.5000
O1 0.0000 0.5000 0.7416
O2 0.0042 0.7896 0.2907
O3 0.2104 0.9958 0.7093
O4 0.2797 0.5077 0.2676
O5 0.4923 0.7203 0.7324
O6 0.5000 0.0000 0.2584
O7 0.5077 0.2797 0.7324
O8 0.7203 0.4923 0.2676
O9 0.7896 0.0042 0.7093
O10 0.9958 0.2104 0.2907

Calculated values
excess energy over the best structure of this formula in the dataset	0.35	eV per formula unit
formation energy from raw total energies	-2.43	eV per atom
calculated total energy	-10.627	eV/atom

***

Entry 5:
A crystal of Li4V2SiGeO10 relaxed with PBEsol. Source: Alexandria via LeMat-Bulk, functional SCAN.

Cell lengths 4.4752, 9.0757, 9.0675 Å; angles 90.00, 90.00, 90.00 degrees
Fractional coordinates of all 36 atoms:
Li1 0.0000 0.0000 0.0000
Li2 0.0000 0.0000 0.5000
Li3 0.0000 0.2441 0.2500
Li4 0.0000 0.2441 0.7500
Li5 0.0000 0.5000 0.0000
Li6 0.0000 0.5000 0.5000
Li7 0.0000 0.7559 0.2500
Li8 0.0000 0.7559 0.7500
V1 0.4092 0.2455 0.0000
V2 0.4092 0.7545 0.5000
V3 0.5908 0.2455 0.5000
V4 0.5908 0.7545 0.0000
Si1 0.5000 0.0000 0.2500
Si2 0.5000 0.0000 0.7500
Ge1 0.5000 0.5000 0.2500
Ge2 0.5000 0.5000 0.7500
O1 0.2240 0.2466 0.5000
O2 0.2240 0.7534 0.0000
O3 0.2632 0.3896 0.1425
O4 0.2632 0.3896 0.8575
O5 0.2632 0.6104 0.3575
O6 0.2632 0.6104 0.6425
O7 0.2797 0.1012 0.1464
O8 0.2797 0.1012 0.8536
O9 0.2797 0.8988 0.3536
O10 0.2797 0.8988 0.6464
O11 0.7203 0.1012 0.3536
O12 0.7203 0.1012 0.6464
O13 0.7203 0.8988 0.1464
O14 0.7203 0.8988 0.8536
O15 0.7368 0.3896 0.3575
O16 0.7368 0.3896 0.6425
O17 0.7368 0.6104 0.1425
O18 0.7368 0.6104 0.8575
O19 0.7760 0.2466 0.0000
O20 0.7760 0.7534 0.5000

Calculated values
formation energy from raw total energies	-2.53	eV per atom
calculated total energy	-10.088	eV/atom

***

Entry 6:
A crystal of Li2V2SiGeO10 relaxed with PBEsol. Source: Alexandria via LeMat-Bulk, functional SCAN.

Cell lengths 4.6747, 6.2320, 6.4317 Å; angles 90.00, 94.46, 90.00 degrees
Fractional coordinates of all 16 atoms:
Li1 0.0000 0.2418 0.0000
Li2 0.0000 0.7582 0.0000
V1 0.3937 0.0000 0.7403
V2 0.6095 0.5000 0.2411
Si1 0.5212 0.0000 0.2382
Ge1 0.4811 0.5000 0.7458
O1 0.2553 0.2744 0.7570
O2 0.2553 0.7256 0.7570
O3 0.2670 0.5000 0.1874
O4 0.2718 0.0000 0.0470
O5 0.3774 0.0000 0.4634
O6 0.6599 0.5000 0.5170
O7 0.7242 0.2146 0.2258
O8 0.7242 0.7854 0.2258
O9 0.7342 0.0000 0.8061
O10 0.7455 0.5000 0.9526

Calculated values
excess energy over the best structure of this formula in the dataset	0.00	eV per formula unit
formation energy from raw total energies	-2.45	eV per atom
calculated total energy	-10.649	eV/atom

***

Entry 7:
A crystal of Li2V2SiGeO10 relaxed with PBEsol. Source: Alexandria via LeMat-Bulk, functional SCAN.

Cell lengths 4.5532, 9.0268, 8.8964 Å; angles 90.00, 90.00, 90.00 degrees
Fractional coordinates of all 32 atoms:
Li1 0.0000 0.2418 0.2500
Li2 0.0000 0.2418 0.7500
Li3 0.0000 0.7582 0.2500
Li4 0.0000 0.7582 0.7500
V1 0.3899 0.2453 0.0000
V2 0.3899 0.7547 0.5000
V3 0.6101 0.2453 0.5000
V4 0.6101 0.7547 0.0000
Si1 0.5000 0.0000 0.2500
Si2 0.5000 0.0000 0.7500
Ge1 0.5000 0.5000 0.2500
Ge2 0.5000 0.5000 0.7500
O1 0.2574 0.2492 0.5000
O2 0.2574 0.7508 0.0000
O3 0.2713 0.3835 0.1441
O4 0.2713 0.3835 0.8559
O5 0.2713 0.6165 0.3559
O6 0.2713 0.6165 0.6441
O7 0.2879 0.1054 0.1467
O8 0.2879 0.1054 0.8533
O9 0.2879 0.8946 0.3533
O10 0.2879 0.8946 0.6467
O11 0.7121 0.1054 0.3533
O12 0.7121 0.1054 0.6467
O13 0.7121 0.8946 0.1467
O14 0.7121 0.8946 0.8533
O15 0.7287 0.3835 0.3559
O16 0.7287 0.3835 0.6441
O17 0.7287 0.6165 0.1441
O18 0.7287 0.6165 0.8559
O19 0.7426 0.2492 0.0000
O20 0.7426 0.7508 0.5000

Calculated values
excess energy over the best structure of this formula in the dataset	0.33	eV per formula unit
formation energy from raw total energies	-2.43	eV per atom
calculated total energy	-10.628	eV/atom

***

Entry 8:
A crystal of Li2TiGeO5 relaxed with PBEsol. Source: Alexandria via LeMat-Bulk, functional SCAN.

Cell lengths 6.6061, 6.6061, 4.4118 Å; angles 90.00, 90.00, 90.00 degrees
Fractional coordinates of all 18 atoms:
Li1 0.0000 0.0000 0.0000
Li2 0.0000 0.5000 0.0000
Li3 0.5000 0.0000 0.0000
Li4 0.5000 0.5000 0.0000
Ti1 0.2500 0.2500 0.3905
Ti2 0.7500 0.7500 0.6095
Ge1 0.2500 0.7500 0.5000
Ge2 0.7500 0.2500 0.5000
O1 0.0361 0.7500 0.7359
O2 0.2500 0.2500 0.7787
O3 0.2500 0.5361 0.2641
O4 0.2500 0.9639 0.2641
O5 0.4639 0.7500 0.7359
O6 0.5361 0.2500 0.2641
O7 0.7500 0.0361 0.7359
O8 0.7500 0.4639 0.7359
O9 0.7500 0.7500 0.2213
O10 0.9639 0.2500 0.2641

Calculated values
formation energy from raw total energies	-2.54	eV per atom
calculated total energy	-10.430	eV/atom